Record 1
Zn2CdTc after structural relaxation. Source: Alexandria, functional PBE.

Unit cell a=2.8346 b=2.8346 c=28.5528 alpha=90.00 beta=90.00 gamma=120.00
Closest atoms and distances in Å follow each position.
Positions (direct):
1 Zn 0.0000 0.0000 0.2415  3 Tc 2.69, 6 Zn 2.83
2 Zn 0.0000 0.0000 0.7585  3 Tc 2.69, 6 Zn 2.83
3 Zn 0.3333 0.6667 0.4252  3 Tc 2.69, 6 Zn 2.83
4 Zn 0.3333 0.6667 0.9082  3 Tc 2.69, 6 Zn 2.83
5 Zn 0.6667 0.3333 0.0918  3 Tc 2.69, 6 Zn 2.83
6 Zn 0.6667 0.3333 0.5748  3 Tc 2.69, 6 Zn 2.83
7 Cd 0.0000 0.0000 0.0000  6 Cd 2.83, 6 Zn 3.09
8 Cd 0.3333 0.6667 0.6667  6 Cd 2.83, 6 Zn 3.09
9 Cd 0.6667 0.3333 0.3333  6 Cd 2.83, 6 Zn 3.09
10 Tc 0.0000 0.0000 0.5000  6 Zn 2.69, 6 Tc 2.83
11 Tc 0.3333 0.6667 0.1667  6 Zn 2.69, 6 Tc 2.83
12 Tc 0.6667 0.3333 0.8333  6 Zn 2.69, 6 Tc 2.83

Computed properties:
V = 16.6 A^3/atom
density of states at the Fermi level = 8.33 states/eV per cell
SG = R-3m
E_form = 0.7 eV per formula unit
E_tot = -3.283 eV per atom


Record 2
RbLuAu2 after structural relaxation. Source: Alexandria, functional PBE.

Unit cell a=3.6603 b=3.6603 c=8.3533 alpha=90.00 beta=90.00 gamma=90.00
Closest atoms and distances in Å follow each position.
Positions (direct):
1 Rb 0.0000 0.0000 0.0000  4 Rb 3.66, 8 Au 3.74
2 Lu 0.0000 0.0000 0.5000  8 Au 2.98
3 Au 0.5000 0.5000 0.3227  1 Au 2.96, 4 Lu 2.98
4 Au 0.5000 0.5000 0.6773  1 Au 2.96, 4 Lu 2.98

Computed properties:
V = 28.0 A^3/atom
density of states at the Fermi level = 2.48 states/eV per cell
SG = P4/mmm
E_form = -2.2 eV per formula unit
E_tot = -3.568 eV per atom


Record 3
Pm5Nd2HoTh after structural relaxation. Source: Alexandria, functional PBE.

Unit cell a=10.7065 b=10.7065 c=10.6088 alpha=90.00 beta=90.00 gamma=149.08
Closest atoms and distances in Å follow each position.
Positions (direct):
1 Pm 0.0148 0.9852 0.5000  2 Ho 3.36, 3 Nd 3.45-3.66, 2 Pm 3.73
2 Pm 0.2752 0.7248 0.2035  1 Ho 3.09, 1 Nd 3.30, 2 Pm 3.40
3 Pm 0.2946 0.7054 0.8134  2 Pm 3.40, 1 Ho 3.47, 2 Th 3.51, 3 Nd 3.60-3.72
4 Pm 0.3855 0.6145 0.4936  6 Pm 3.58-3.91, 4 Nd 3.61-3.62, 1 Th 3.86
5 Pm 0.4819 0.5181 0.7743  2 Ho 3.26-3.41, 2 Nd 3.57, 2 Pm 3.58-3.59
6 Pm 0.5181 0.4819 0.2743  2 Ho 3.26-3.41, 2 Nd 3.57, 2 Pm 3.58-3.59
7 Pm 0.6145 0.3855 0.9936  6 Pm 3.58-3.91, 4 Nd 3.61-3.62, 1 Th 3.86
8 Pm 0.7054 0.2946 0.3134  2 Pm 3.40, 1 Ho 3.47, 2 Th 3.51, 3 Nd 3.60-3.72
9 Pm 0.7248 0.2752 0.7035  1 Ho 3.09, 1 Nd 3.30, 2 Pm 3.40
10 Pm 0.9852 0.0148 0.0000  2 Ho 3.36, 3 Nd 3.45-3.66, 2 Pm 3.73
11 Nd 0.1153 0.8847 0.2037  8 Pm 3.30-3.62, 1 Th 3.64
12 Nd 0.1148 0.8852 0.7854  1 Th 3.43, 7 Pm 3.51-3.75, 2 Ho 3.75
13 Nd 0.8852 0.1148 0.2854  1 Th 3.43, 7 Pm 3.51-3.75, 2 Ho 3.75
14 Nd 0.8847 0.1153 0.7037  8 Pm 3.30-3.62, 1 Th 3.64
15 Ho 0.4053 0.5947 0.0594  5 Pm 3.09-3.41
16 Ho 0.5947 0.4053 0.5594  5 Pm 3.09-3.41
17 Th 0.1984 0.8016 0.5060  2 Nd 3.43-3.64, 7 Pm 3.51-3.82, 2 Ho 3.61
18 Th 0.8016 0.1984 0.0060  2 Nd 3.43-3.64, 7 Pm 3.51-3.82, 2 Ho 3.61

Computed properties:
V = 34.7 A^3/atom
density of states at the Fermi level = 26.45 states/eV per cell
SG = Cmc2_1
E_form = 1.3 eV per formula unit
E_tot = -4.884 eV per atom


Record 4
Tb2Y7Tm3 after structural relaxation. Source: Alexandria, functional PBE.

Unit cell a=6.3217 b=3.5067 c=17.3845 alpha=90.00 beta=96.12 gamma=90.00
Closest atoms and distances in Å follow each position.
Positions (direct):
1 Tb 0.0616 0.0000 0.1727  5 Y 3.40-3.47, 2 Tb 3.51, 4 Tm 3.58-3.67
2 Tb 0.9384 0.0000 0.8273  5 Y 3.40-3.47, 2 Tb 3.51, 4 Tm 3.58-3.67
3 Y 0.0000 0.5000 0.5000  8 Y 3.51-3.59, 4 Tm 3.61
4 Y 0.2262 0.0000 0.6693  1 Tb 3.45, 8 Y 3.51-3.62, 3 Tm 3.57-3.64
5 Y 0.2560 0.0000 0.9977  2 Y 3.08-3.25, 2 Tb 3.40
6 Y 0.2757 0.5000 0.3347  2 Tb 3.47, 7 Y 3.51-3.62, 3 Tm 3.53-3.69
7 Y 0.7243 0.5000 0.6653  2 Tb 3.47, 7 Y 3.51-3.62, 3 Tm 3.53-3.69
8 Y 0.7440 0.0000 0.0023  2 Y 3.08-3.25, 2 Tb 3.40
9 Y 0.7738 0.0000 0.3307  1 Tb 3.45, 8 Y 3.51-3.62, 3 Tm 3.57-3.64
10 Tm 0.4508 0.5000 0.8425  2 Tm 3.51, 7 Y 3.55-3.69, 4 Tb 3.58-3.67
11 Tm 0.5000 0.0000 0.5000  2 Tm 3.51, 10 Y 3.53-3.61
12 Tm 0.5492 0.5000 0.1575  2 Tm 3.51, 7 Y 3.55-3.69, 4 Tb 3.58-3.67

Computed properties:
V = 31.9 A^3/atom
density of states at the Fermi level = 18.58 states/eV per cell
offset from the most stable computed form = 0.0 meV/atom
SG = P2/m
E_form = 1.0 eV per formula unit
E_tot = -5.580 eV per atom